## Li2Sn2Sb (GGA-PBE)

Data for crystalline Li2Sn2Sb at its relaxed geometry.

abc: 7.1971 7.1971 4.3335
angles: 90.00 90.00 90.00
Last column: nearest neighbours and their distance in Å.
Space group P4/mbm (No. 127)
Asymmetric unit:
Li (0.1394, 0.3606, 0.0000)  2 Sb 2.78, 1 Li 2.84, 6 Sn 2.96-3.07
Sn (0.1627, 0.6627, 0.5000)  6 Li 2.96-3.07, 1 Sn 3.31
Sb (0.0000, 0.0000, 0.0000)  4 Li 2.78

Output
DOS at the Fermi energy = 0.420 states/eV/atom
formation energy without anion corrections = -0.187 eV per atom
VASP energy = -3.38 eV/atom
ΔE to the lowest computed polymorph = 0.0843 eV per atom

---

## Li4SnSb (GGA-PBE)

Data for crystalline Li4SnSb at its relaxed geometry.

abc: 4.9928 5.6458 8.6682
angles: 90.00 93.61 90.00
Last column: nearest neighbours and their distance in Å.
Space group P2_1/m (No. 11)
Asymmetric unit:
Li (0.1502, 0.2500, 0.1078)  2 Sn 2.71-2.74, 3 Li 2.95-3.00
Li (0.2765, 0.0131, 0.7456)  4 Li 2.68-2.97, 2 Sn 2.81-2.95, 1 Sb 2.91
Li (0.2767, 0.2500, 0.4505)  3 Li 2.89-3.00, 4 Sb 2.94-3.11
Sn (0.3662, 0.7500, 0.0186)  6 Li 2.71-2.95, 1 Sb 3.02
Sb (0.2227, 0.7500, 0.3516)  8 Li 2.91-3.11, 1 Sn 3.02

Output
DOS at the Fermi energy = 0.175 states/eV/atom
formation energy without anion corrections = -0.377 eV per atom
VASP energy = -3.01 eV/atom
ΔE to the lowest computed polymorph = 0.0000 eV per atom

---

## LiSnSb (GGA-PBE)

Data for crystalline LiSnSb at its relaxed geometry.

abc: 4.3754 4.4812 7.9108
angles: 75.43 83.35 88.91
Last column: nearest neighbours and their distance in Å.
Space group P1 (No. 1)
Asymmetric unit:
Li (0.0000, 0.0000, 0.0000)  5 Sb 2.99-3.19, 2 Sn 3.13-3.24, 2 Li 3.19-3.24
Li (0.4460, 0.8844, 0.3093)  3 Sb 2.97-3.16, 5 Sn 3.04-3.25, 2 Li 3.19-3.24
Sn (0.8091, 0.8639, 0.6421)  5 Sb 3.02-3.31, 1 Sn 3.10, 2 Li 3.21-3.24
Sn (0.9492, 0.4058, 0.3116)  3 Sb 3.02-3.32, 5 Li 3.04-3.25, 1 Sn 3.10
Sb (0.3098, 0.3857, 0.6605)  2 Li 2.99-3.10, 5 Sn 3.02-3.32, 1 Sb 3.28
Sb (0.4968, 0.4762, 0.0350)  6 Li 2.97-3.19, 3 Sn 3.02-3.31, 1 Sb 3.28

Output
DOS at the Fermi energy = 0.260 states/eV/atom
formation energy without anion corrections = -0.212 eV per atom
VASP energy = -3.56 eV/atom
ΔE to the lowest computed polymorph = 0.0478 eV per atom

---

## LiSnSb (GGA-PBE)

Data for crystalline LiSnSb at its relaxed geometry.

abc: 5.0544 4.5416 7.1163
angles: 90.00 107.40 90.00
Last column: nearest neighbours and their distance in Å.
Space group P2_1/m (No. 11)
Asymmetric unit:
Li (0.2177, 0.2500, 0.4717)  4 Sb 2.85-2.90
Sn (0.2363, 0.7500, 0.1138)  3 Sb 2.99-3.03, 2 Sn 3.34
Sb (0.3621, 0.7500, 0.7297)  4 Li 2.85-2.90, 3 Sn 2.99-3.03

Output
DOS at the Fermi energy = 0.116 states/eV/atom
formation energy without anion corrections = -0.255 eV per atom
VASP energy = -3.60 eV/atom
ΔE to the lowest computed polymorph = 0.0041 eV per atom